# 1
{
  "formula": "TaVGa",
  "functional": "PBE-GGA",
  "state": "optimized geometry",
  "cell": [[4.489, 0.000, 0.000], [-2.245, 3.888, 0.000], [0.000, 0.000, 2.711]],
  "species": ["Ta", "V", "Ga"],
  "frac_coords": [[0.000, 0.000, 0.000], [0.667, 0.333, 0.327], [0.333, 0.667, 0.602]],
  "relative_energy_kj_per_mol_atoms": 20.04,
  "e_tot_ev_per_atom": -8.007
}

=====

# 2
{
  "formula": "CoCu2Pt6",
  "functional": "PBE-GGA",
  "state": "optimized geometry",
  "cell": [[6.698, -1.902, 0.000], [6.698, 1.902, 0.000], [-0.510, 0.000, 5.338]],
  "species": ["Co", "Cu", "Cu", "Pt", "Pt", "Pt", "Pt", "Pt", "Pt"],
  "frac_coords": [[0.000, 0.000, 0.000], [0.198, 0.198, 0.050], [0.788, 0.788, 0.330], [0.203, 0.203, 0.559], [0.393, 0.393, 0.163], [0.589, 0.589, 0.777], [0.593, 0.593, 0.274], [0.814, 0.814, 0.829], [0.974, 0.974, 0.511]],
  "relative_energy_kj_per_mol_atoms": 1.20,
  "e_tot_ev_per_atom": -5.704
}

=====

# 3
{
  "formula": "Ca2TaCu",
  "functional": "PBE-GGA",
  "state": "optimized geometry",
  "cell": [[-4.104, 4.104, 2.916], [4.104, -4.104, 2.916], [4.104, 4.104, -2.916]],
  "species": ["Ca", "Ca", "Ca", "Ca", "Ta", "Ta", "Cu", "Cu"],
  "frac_coords": [[0.076, 0.625, 0.951], [0.375, 0.326, 0.451], [0.674, 0.125, 0.049], [0.875, 0.924, 0.549], [0.250, 0.750, 0.500], [0.500, 0.500, 0.000], [0.000, 0.000, 0.000], [0.750, 0.250, 0.500]],
  "relative_energy_kj_per_mol_atoms": 55.94,
  "e_tot_ev_per_atom": -4.074
}

=====

# 4
{
  "formula": "Y3Ga4Au2",
  "functional": "PBE-GGA",
  "state": "optimized geometry",
  "cell": [[5.340, -2.259, 0.000], [5.340, 2.259, 0.000], [-3.243, 0.000, 7.852]],
  "species": ["Y", "Y", "Y", "Ga", "Ga", "Ga", "Ga", "Au", "Au"],
  "frac_coords": [[0.000, 0.000, 0.000], [0.327, 0.327, 0.344], [0.673, 0.673, 0.656], [0.027, 0.027, 0.365], [0.259, 0.259, 0.925], [0.741, 0.741, 0.075], [0.973, 0.973, 0.635], [0.398, 0.398, 0.728], [0.602, 0.602, 0.272]],
  "e_tot_ev_per_atom": -4.996
}

=====

# 5
{
  "formula": "LiCeTmIn",
  "functional": "PBE-GGA",
  "state": "optimized geometry",
  "cell": [[0.000, 3.750, 3.750], [3.750, 0.000, 3.750], [3.750, 3.750, 0.000]],
  "species": ["Li", "Ce", "Tm", "In"],
  "frac_coords": [[0.000, 0.000, 0.000], [0.250, 0.250, 0.250], [0.750, 0.750, 0.750], [0.500, 0.500, 0.500]],
  "e_tot_ev_per_atom": -3.908
}

=====

# 6
{
  "formula": "NaCo2Cl",
  "functional": "PBE-GGA",
  "state": "optimized geometry",
  "cell": [[0.000, 3.125, 3.125], [3.125, 0.000, 3.125], [3.125, 3.125, 0.000]],
  "species": ["Na", "Co", "Co", "Cl"],
  "frac_coords": [[0.000, 0.000, 0.000], [0.250, 0.250, 0.250], [0.750, 0.750, 0.750], [0.500, 0.500, 0.500]],
  "relative_energy_kj_per_mol_atoms": 49.24,
  "raw_formation_energy_mev_per_atom": 984,
  "e_tot_ev_per_atom": -3.360
}

=====

# 7
{
  "formula": "CaOsRu",
  "functional": "PBE-GGA",
  "state": "optimized geometry",
  "cell": [[4.111, 0.000, 0.000], [-2.055, 3.560, 0.000], [0.000, 0.000, 9.294]],
  "species": ["Ca", "Ca", "Os", "Os", "Ru", "Ru"],
  "frac_coords": [[0.000, 0.000, 0.000], [0.000, 0.000, 0.500], [0.333, 0.667, 0.250], [0.667, 0.333, 0.750], [0.333, 0.667, 0.750], [0.667, 0.333, 0.250]],
  "relative_energy_kj_per_mol_atoms": 24.47,
  "e_tot_ev_per_atom": -7.158
}

=====

# 8
{
  "formula": "Nd3Sm7Tl",
  "functional": "PBE-GGA",
  "state": "optimized geometry",
  "cell": [[7.112, 0.000, 0.000], [-3.556, 6.159, 0.000], [0.000, 0.000, 8.710]],
  "species": ["Nd", "Nd", "Nd", "Sm", "Sm", "Sm", "Sm", "Sm", "Sm", "Sm", "Tl"],
  "frac_coords": [[0.167, 0.334, 0.000], [0.167, 0.833, 0.000], [0.666, 0.833, 0.000], [0.005, 0.503, 0.336], [0.330, 0.165, 0.657], [0.333, 0.667, 0.670], [0.497, 0.503, 0.336], [0.497, 0.995, 0.336], [0.835, 0.165, 0.657], [0.835, 0.670, 0.657], [0.000, 0.000, 0.333]],
  "e_tot_ev_per_atom": -4.399
}

=====

# 9
{
  "formula": "ZrSc2Pd",
  "functional": "PBE-GGA",
  "state": "optimized geometry",
  "cell": [[1.629, 0.941, 9.292], [-1.629, 0.941, 9.292], [0.000, -1.881, 9.292]],
  "species": ["Zr", "Sc", "Sc", "Pd"],
  "frac_coords": [[0.000, 0.000, 0.000], [0.574, 0.574, 0.574], [0.758, 0.758, 0.758], [0.166, 0.166, 0.166]],
  "relative_energy_kj_per_mol_atoms": 16.81,
  "e_tot_ev_per_atom": -6.877
}

=====

# 10
{
  "formula": "CsNaThBr6",
  "functional": "PBE-GGA",
  "state": "optimized geometry",
  "cell": [[7.711, 0.000, 0.000], [-3.856, 6.678, 0.000], [0.000, 0.000, 15.911]],
  "species": ["Cs", "Cs", "Na", "Na", "Th", "Th", "Br", "Br", "Br", "Br", "Br", "Br", "Br", "Br", "Br", "Br", "Br", "Br"],
  "frac_coords": [[0.000, 0.000, 0.000], [0.000, 0.000, 0.500], [0.333, 0.667, 0.250], [0.667, 0.333, 0.750], [0.333, 0.667, 0.750], [0.667, 0.333, 0.250], [0.016, 0.382, 0.646], [0.016, 0.634, 0.854], [0.366, 0.382, 0.854], [0.366, 0.984, 0.646], [0.382, 0.016, 0.146], [0.382, 0.366, 0.354], [0.618, 0.634, 0.646], [0.618, 0.984, 0.854], [0.634, 0.016, 0.354], [0.634, 0.618, 0.146], [0.984, 0.366, 0.146], [0.984, 0.618, 0.354]],
  "raw_formation_energy_mev_per_atom": -1755,
  "e_tot_ev_per_atom": -3.936
}

=====

# 11
{
  "formula": "Be3NbCu",
  "functional": "PBE-GGA",
  "state": "optimized geometry",
  "cell": [[4.391, 0.000, 0.000], [0.000, 4.391, 0.000], [0.000, 0.000, 4.391]],
  "species": ["Be", "Be", "Be", "Nb", "Cu"],
  "frac_coords": [[0.000, 0.000, 0.500], [0.000, 0.500, 0.000], [0.500, 0.000, 0.000], [0.000, 0.000, 0.000], [0.500, 0.500, 0.500]],
  "relative_energy_kj_per_mol_atoms": 131.16,
  "e_tot_ev_per_atom": -3.329
}

=====

# 12
{
  "formula": "Tl4SnPb",
  "functional": "PBE-GGA",
  "state": "optimized geometry",
  "cell": [[3.437, 0.000, 0.000], [0.000, 3.437, 0.000], [0.000, 0.000, 15.606]],
  "species": ["Tl", "Tl", "Tl", "Tl", "Sn", "Pb"],
  "frac_coords": [[0.000, 0.000, 0.158], [0.000, 0.000, 0.842], [0.500, 0.500, 0.333], [0.500, 0.500, 0.667], [0.500, 0.500, 0.000], [0.000, 0.000, 0.500]],
  "relative_energy_kj_per_mol_atoms": 0.00,
  "e_tot_ev_per_atom": -2.851
}

=====

# 13
{
  "formula": "Na3Nd2DySe6",
  "functional": "PBE-GGA",
  "state": "optimized geometry",
  "cell": [[3.671, -6.358, 0.000], [3.671, 6.358, 0.000], [-2.450, 0.000, 7.016]],
  "species": ["Na", "Na", "Na", "Nd", "Nd", "Dy", "Se", "Se", "Se", "Se", "Se", "Se"],
  "frac_coords": [[0.000, 0.000, 0.000], [0.333, 0.667, 0.000], [0.667, 0.333, 0.000], [0.167, 0.833, 0.500], [0.833, 0.167, 0.500], [0.500, 0.500, 0.500], [0.097, 0.422, 0.266], [0.253, 0.253, 0.733], [0.422, 0.097, 0.266], [0.578, 0.903, 0.734], [0.747, 0.747, 0.267], [0.903, 0.578, 0.734]],
  "raw_formation_energy_mev_per_atom": -1690,
  "e_tot_ev_per_atom": -4.940
}

=====

# 14
{
  "formula": "Ba2NaAgHg",
  "functional": "PBE-GGA",
  "state": "optimized geometry",
  "cell": [[6.476, 0.000, 0.000], [0.000, 6.476, 0.000], [0.000, 0.000, 5.377]],
  "species": ["Ba", "Ba", "Na", "Ag", "Hg"],
  "frac_coords": [[0.000, 0.500, 0.000], [0.500, 0.000, 0.000], [0.000, 0.000, 0.500], [0.500, 0.500, 0.000], [0.500, 0.500, 0.500]],
  "e_tot_ev_per_atom": -1.751
}

=====

# 15
{
  "formula": "InSeN3",
  "functional": "PBE-GGA",
  "state": "optimized geometry",
  "cell": [[3.835, 0.000, 0.000], [0.000, 3.835, 0.000], [0.000, 0.000, 3.835]],
  "species": ["In", "Se", "N", "N", "N"],
  "frac_coords": [[0.000, 0.000, 0.000], [0.500, 0.500, 0.500], [0.000, 0.500, 0.500], [0.500, 0.000, 0.500], [0.500, 0.500, 0.000]],
  "raw_formation_energy_mev_per_atom": 1664,
  "e_tot_ev_per_atom": -4.576
}

=====

# 16
{
  "formula": "SrY2Pb",
  "functional": "PBE-GGA",
  "state": "optimized geometry",
  "cell": [[3.765, 0.000, 0.000], [0.000, 5.443, 0.000], [-1.740, 0.000, 6.687]],
  "species": ["Sr", "Y", "Y", "Pb"],
  "frac_coords": [[0.000, 0.000, 0.000], [0.339, 0.500, 0.717], [0.661, 0.500, 0.283], [0.500, 0.000, 0.500]],
  "e_tot_ev_per_atom": -4.704
}

=====

# 17
{
  "formula": "PtPb2Cl2O2",
  "functional": "PBE-GGA",
  "state": "optimized geometry",
  "cell": [[5.890, -2.010, 0.000], [5.890, 2.010, 0.000], [-3.728, 0.000, 6.344]],
  "species": ["Pt", "Pb", "Pb", "Cl", "Cl", "O", "O"],
  "frac_coords": [[0.000, 0.000, 0.000], [0.187, 0.187, 0.754], [0.813, 0.813, 0.246], [0.447, 0.447, 0.728], [0.553, 0.553, 0.272], [0.193, 0.193, 0.077], [0.807, 0.807, 0.923]],
  "raw_formation_energy_mev_per_atom": -760,
  "e_tot_ev_per_atom": -4.627
}

=====

# 18
{
  "formula": "UHgPb2",
  "functional": "PBE-GGA",
  "state": "optimized geometry",
  "cell": [[2.563, 1.480, 8.171], [-2.563, 1.480, 8.171], [0.000, -2.959, 8.171]],
  "species": ["U", "Hg", "Pb", "Pb"],
  "frac_coords": [[0.000, 0.000, 0.000], [0.500, 0.500, 0.500], [0.379, 0.379, 0.379], [0.621, 0.621, 0.621]],
  "relative_energy_kj_per_mol_atoms": 61.29,
  "e_tot_ev_per_atom": -4.000
}

=====

# 19
{
  "formula": "Sc2SbAu",
  "functional": "PBE-GGA",
  "state": "optimized geometry",
  "cell": [[1.828, 1.055, 9.280], [-1.828, 1.055, 9.280], [0.000, -2.110, 9.280]],
  "species": ["Sc", "Sc", "Sb", "Au"],
  "frac_coords": [[0.104, 0.104, 0.104], [0.896, 0.896, 0.896], [0.000, 0.000, 0.000], [0.500, 0.500, 0.500]],
  "raw_formation_energy_mev_per_atom": -229,
  "e_tot_ev_per_atom": -5.244
}

=====

# 20
{
  "formula": "RbAsAu3",
  "functional": "PBE-GGA",
  "state": "optimized geometry",
  "cell": [[5.927, 0.000, 0.000], [0.000, 5.927, 0.000], [0.000, 0.000, 5.927]],
  "species": ["Rb", "As", "Au", "Au", "Au"],
  "frac_coords": [[0.000, 0.000, 0.000], [0.500, 0.500, 0.500], [0.000, 0.000, 0.500], [0.000, 0.500, 0.000], [0.500, 0.000, 0.000]],
  "relative_energy_kj_per_mol_atoms": 160.16,
  "e_tot_ev_per_atom": -1.547
}

=====

no.,volume (Å³/f.u.)
1,47.3
2,136.1
3,98.3
4,189.5
5,105.4
6,61.0
7,68.0
8,381.5
9,85.4
10,409.7
11,84.7
12,184.4
13,327.5
14,225.5
15,56.4
16,137.0
17,150.2
18,185.9
19,107.4
20,208.2